Sc2HgPd3 PBE relaxed; symmetry = No. 12; formation energy = -65 kJ per mole of atoms; energy above the most stable polymorph in this dataset = 72 meV per atom; theoretical density = 9.30 g cm⁻³; total energy = -5.4269 eV per atom
1.0
3.867 0.000 0.000
-1.933 7.775 -0.556
0.000 -4.185 7.545
Pd Sc Hg
6 4 2
Direct
0.755 0.510 0.628
0.921 0.841 0.535
0.583 0.165 0.718
0.417 0.835 0.282
0.079 0.159 0.465
0.245 0.490 0.372
0.775 0.550 0.178
0.589 0.178 0.254
0.225 0.450 0.822
0.411 0.822 0.746
0.092 0.183 0.978
0.908 0.817 0.022